1.
## InBiSb2 (PBE)

Data for an optimized crystal structure of InBiSb2.

The structure belongs to space group I-42d (No. 122); the cell edges are 6.900, 6.900 and 13.780 Å and the angles 90.00°, 90.00° and 90.00°. The inequivalent atoms are In at (0.000, 0.000, 0.000), Bi at (0.000, 0.000, 0.500) and Sb at (0.225, 0.250, 0.125).

=====

2.
## InBiSb2 (PBE)

Data for an optimized crystal structure of InBiSb2.

The structure belongs to space group P4/mmm (No. 123); the cell edges are 4.937, 4.937 and 4.752 Å and the angles 90.00°, 90.00° and 90.00°. The inequivalent atoms are In at (0.000, 0.000, 0.000), Bi at (0.500, 0.500, 0.000) and Sb at (0.000, 0.500, 0.500).

=====

3.
## InBi2Sb2 (PBE)

Data for an optimized crystal structure of InBi2Sb2.

The structure belongs to space group I4/mmm (No. 139); the cell edges are 4.332, 4.332 and 17.063 Å and the angles 90.00°, 90.00° and 90.00°. The inequivalent atoms are In at (0.000, 0.000, 0.000), Bi at (0.000, 0.000, 0.406) and Sb at (0.000, 0.500, 0.250).

=====

4.
## In2BiSb (PBE)

Data for an optimized crystal structure of In2BiSb.

The structure belongs to space group R-3m (No. 166, hexagonal axes); the cell edges are 4.3927, 4.3927 and 21.7176 Å and the angles 90.00°, 90.00° and 120.00°. The inequivalent atoms are In at (0.0000, 0.0000, 0.2453), Bi at (0.0000, 0.0000, 0.0000) and Sb at (0.0000, 0.0000, 0.5000).

=====

5.
## InBiSb2 (PBE)

Data for an optimized crystal structure of InBiSb2.

The structure belongs to space group R3m (No. 160, hexagonal axes); the cell edges are 4.3164, 4.3164 and 23.2566 Å and the angles 90.00°, 90.00° and 120.00°. The inequivalent atoms are In at (0.0000, 0.0000, 0.0000), Bi at (0.0000, 0.0000, 0.1686), Sb at (0.0000, 0.0000, 0.5844) and Sb at (0.0000, 0.0000, 0.7454).

=====

6.
## InBiSb3 (PBE)

Data for an optimized crystal structure of InBiSb3.

The structure belongs to space group Pm-3m (No. 221); the cell edges are 5.572, 5.572 and 5.572 Å and the angles 90.00°, 90.00° and 90.00°. The inequivalent atoms are In at (0.000, 0.000, 0.000), Bi at (0.500, 0.500, 0.500) and Sb at (0.000, 0.000, 0.500).

=====

7.
## In2BiSb2 (PBE)

Data for an optimized crystal structure of In2BiSb2.

The structure belongs to space group I4/mmm (No. 139); the cell edges are 4.248, 4.248 and 17.110 Å and the angles 90.00°, 90.00° and 90.00°. The inequivalent atoms are In at (0.000, 0.000, 0.095), Bi at (0.000, 0.000, 0.500) and Sb at (0.000, 0.500, 0.250).

=====

8.
## In2BiSb (PBE)

Data for an optimized crystal structure of In2BiSb.

The structure belongs to space group I-42d (No. 122); the cell edges are 6.737, 6.737 and 13.460 Å and the angles 90.00°, 90.00° and 90.00°. The inequivalent atoms are In at (0.241, 0.250, 0.125), Bi at (0.000, 0.000, 0.500) and Sb at (0.000, 0.000, 0.000).

=====

9.
## In12Bi3Sb (PBE)

Data for an optimized crystal structure of In12Bi3Sb.

The structure belongs to space group P4/mmm (No. 123); the cell edges are 4.611, 4.611 and 21.723 Å and the angles 90.00°, 90.00° and 90.00°. The inequivalent atoms are In at (0.000, 0.000, 0.000), In at (0.000, 0.000, 0.248), In at (0.000, 0.000, 0.500), In at (0.000, 0.500, 0.122), In at (0.000, 0.500, 0.374), Bi at (0.500, 0.500, 0.248), Bi at (0.500, 0.500, 0.500) and Sb at (0.500, 0.500, 0.000).

=====

10.
## In2BiSb (PBE)

Data for an optimized crystal structure of In2BiSb.

The structure belongs to space group Fm-3m (No. 225); the cell edges are 7.717, 7.717 and 7.717 Å and the angles 90.00°, 90.00° and 90.00°. The inequivalent atoms are In at (0.250, 0.250, 0.250), Bi at (0.000, 0.000, 0.000) and Sb at (0.000, 0.000, 0.500).

=====

11.
## In2BiSb2 (PBE)

Data for an optimized crystal structure of In2BiSb2.

The structure belongs to space group I4/mmm (No. 139); the cell edges are 4.308, 4.308 and 16.109 Å and the angles 90.00°, 90.00° and 90.00°. The inequivalent atoms are In at (0.000, 0.500, 0.250), Bi at (0.000, 0.000, 0.000) and Sb at (0.000, 0.000, 0.403).

=====

12.
## InBiSb2 (PBE)

Data for an optimized crystal structure of InBiSb2.

The structure belongs to space group P4/mmm (No. 123); the cell edges are 3.768, 3.768 and 7.993 Å and the angles 90.00°, 90.00° and 90.00°. The inequivalent atoms are In at (0.000, 0.000, 0.000), Bi at (0.000, 0.000, 0.500) and Sb at (0.500, 0.500, 0.246).

=====

Record order is preserved below.
Fermi-level density of states: 0.00; 2.15; 2.87; 2.40; 2.83; 5.60; 2.92; 0.01; 9.37; 2.14; 3.40; 1.79 states/eV/f.u.
Record order is preserved below.
Energy relative to the elements, uncorrected: 0.11; 0.16; 0.18; 0.04; 0.08; 0.72; 0.14; -0.05; 0.03; 0.10; 0.16; 0.15 eV/atom